Computed, not measured: a relaxed structure of NdGe2Pt7Pb2 at the PBE level of DFT.

Cell and atoms, written as POSCAR:
```
NdGe2Pt7Pb2
1.0
4.0352 -0.0034 -0.0008
0.0015 4.0352 -0.0008
1.9986 1.9962 15.7303
Nd Ge Pt Pb
1 2 7 2
Direct
0.0000 0.0000 0.0000
0.6174 0.6174 0.7626
0.3826 0.3826 0.2374
0.5000 0.5000 0.0000
0.3029 0.3029 0.3921
0.6971 0.6971 0.6079
0.9288 0.4289 0.1439
0.4289 0.9288 0.1439
0.5711 0.0712 0.8561
0.0712 0.5711 0.8561
0.7885 0.7885 0.4224
0.2115 0.2115 0.5776
```

Computed properties:
formation energy	-560.6	kJ/mol of formula units
total energy	-5.793	eV per atom
spin magnetization	0.000	μB per atom
symmetry	C2/m (12)

=====

Computed, not measured: a relaxed structure of Cs2Sc2Ge at the PBE level of DFT.

Cell and atoms, written as POSCAR:
```
Cs2Sc2Ge
1.0
4.4675 0.0000 0.0000
0.0000 4.4675 0.0000
2.2338 2.2338 9.3121
Cs Sc Ge
2 2 1
Direct
0.7500 0.2500 0.5000
0.2500 0.7500 0.5000
0.4306 0.4306 0.1388
0.5694 0.5694 0.8612
0.0000 0.0000 0.0000
```

Computed properties:
formation energy	448.9	kJ/mol of formula units
total energy	-2.867	eV per atom
spin magnetization	0.000	μB per atom
symmetry	I4/mmm (139)